Entry one
PAu2Se | GGA-PBE | relaxed

Calculated volume (Å³/atom): 19.54
Fermi-level density of states (states/eV per atom): 0.49

Cell lengths 3.264, 3.872, 12.369 Å; angles 90.00, 90.00, 90.00 degrees
Space group Imm2 (No. 44)
Symmetry-distinct sites (fractional):
P 0.000 0.000 0.000 [2 per cell]
Au 0.000 0.000 0.565 [2 per cell]
Au 0.000 0.500 0.731 [2 per cell]
Se 0.000 0.500 0.343 [2 per cell]

=====

Entry two
PAu2Se | GGA-PBE | relaxed

Calculated volume (Å³/atom): 18.74
Fermi-level density of states (states/eV per atom): 0.58

Cell lengths 3.912, 3.912, 9.798 Å; angles 90.00, 90.00, 90.00 degrees
Space group I4/mmm (No. 139)
Symmetry-distinct sites (fractional):
P 0.000 0.000 0.000 [2 per cell]
Au 0.000 0.500 0.250 [4 per cell]
Se 0.000 0.000 0.500 [2 per cell]

=====

Going by the energies, entry one is most stable and the next is 0.166 eV/atom up.

=====

Entry one
PAu2Se | GGA-PBE | relaxed

Calculated volume (Å³/atom): 20.50
Fermi-level density of states (states/eV per atom): 0.37

Cell lengths 8.180, 2.815, 7.173 Å; angles 90.00, 96.80, 90.00 degrees
Space group Cm (No. 8)
Symmetry-distinct sites (fractional):
P 0.000 0.000 0.000 [2 per cell]
Au 0.200 0.500 0.204 [2 per cell]
Au 0.417 0.000 0.466 [2 per cell]
Se 0.133 0.000 0.723 [2 per cell]

=====

Entry two
PAu2Se | GGA-PBE | relaxed

Calculated volume (Å³/atom): 18.50
Fermi-level density of states (states/eV per atom): 0.40

Cell lengths 3.468, 4.362, 4.892 Å; angles 90.00, 90.00, 90.00 degrees
Space group Pmmm (No. 47)
Symmetry-distinct sites (fractional):
P 0.000 0.000 0.000 [1 per cell]
Au 0.000 0.500 0.500 [1 per cell]
Au 0.500 0.000 0.500 [1 per cell]
Se 0.500 0.500 0.000 [1 per cell]

=====

Going by the energies, entry one is most stable and the next is 0.285 eV/atom up.

=====

Entry one
P2AuSe6 | GGA-PBE | relaxed

Calculated volume (Å³/atom): 31.62
Fermi-level density of states (states/eV per atom): 0.83

Cell lengths 6.7424, 6.7424, 7.2283 Å; angles 90.00, 90.00, 120.00 degrees
Space group P-3m1 (No. 164)
Symmetry-distinct sites (fractional):
P 0.3333 0.6667 0.0611 [2 per cell]
Au 0.0000 0.0000 0.0000 [1 per cell]
Se 0.1695 0.3389 0.2343 [6 per cell]

=====

Entry two
P2AuSe6 | GGA-PBE | relaxed

Calculated volume (Å³/atom): 26.79
Fermi-level density of states (states/eV per atom): 0.56

Cell lengths 13.599, 13.140, 6.001 Å; angles 90.00, 115.90, 90.00 degrees
Space group C2/c (No. 15)
Symmetry-distinct sites (fractional):
P 0.222 0.084 0.284 [8 per cell]
Au 0.000 0.238 0.250 [4 per cell]
Se 0.102 0.410 0.573 [8 per cell]
Se 0.139 0.224 0.083 [8 per cell]
Se 0.144 0.068 0.555 [8 per cell]

=====

Going by the energies, entry two is most stable and the next is 0.129 eV/atom up.